Below is a relaxed structure of Ag2HgPt, with properties calculated at the PBE level.

Calculated values
* symmetry: No. 8
* energy of formation from the pure elements: 0.03 eV/atom

The structure in CIF format:
```
data_Ag2HgPt
_space_group_name_H-M_alt 'P 1'
_space_group_IT_number 1
_cell_length_a 5.038
_cell_length_b 5.038
_cell_length_c 5.107
_cell_angle_alpha 99.71
_cell_angle_beta 99.71
_cell_angle_gamma 34.53
loop_
_space_group_symop_operation_xyz
'x,y,z'
loop_
_atom_site_label
_atom_site_fract_x
_atom_site_fract_y
_atom_site_fract_z
Ag1 0.000 0.000 0.000
Ag2 0.248 0.248 0.763
Hg1 0.491 0.491 0.492
Pt1 0.745 0.745 0.255
```

Below is a relaxed structure of Sr2AlHg3, with properties calculated at the PBE level.

Calculated values
* symmetry: No. 69
* energy of formation from the pure elements: -0.42 eV/atom

The structure in CIF format:
```
data_Sr2AlHg3
_space_group_name_H-M_alt 'P 1'
_space_group_IT_number 1
_cell_length_a 9.941
_cell_length_b 9.502
_cell_length_c 6.374
_cell_angle_alpha 74.64
_cell_angle_beta 67.17
_cell_angle_gamma 38.19
loop_
_space_group_symop_operation_xyz
'x,y,z'
loop_
_atom_site_label
_atom_site_fract_x
_atom_site_fract_y
_atom_site_fract_z
Sr1 0.241 0.759 0.759
Sr2 0.250 0.250 0.250
Sr3 0.750 0.750 0.750
Sr4 0.759 0.241 0.241
Al1 0.334 0.334 0.666
Al2 0.666 0.666 0.334
Hg1 0.173 0.173 0.827
Hg2 0.175 0.652 0.348
Hg3 0.348 0.825 0.175
Hg4 0.652 0.175 0.825
Hg5 0.825 0.348 0.652
Hg6 0.827 0.827 0.173
```

Below is a relaxed structure of Zr11Zn9Cu4, with properties calculated at the PBE level.

Calculated values
* symmetry: No. 65
* energy of formation from the pure elements: -0.21 eV/atom

The structure in CIF format:
```
data_Zr11Zn9Cu4
_space_group_name_H-M_alt 'P 1'
_space_group_IT_number 1
_cell_length_a 11.865
_cell_length_b 11.865
_cell_length_c 3.365
_cell_angle_alpha 90.00
_cell_angle_beta 90.00
_cell_angle_gamma 113.02
loop_
_space_group_symop_operation_xyz
'x,y,z'
loop_
_atom_site_label
_atom_site_fract_x
_atom_site_fract_y
_atom_site_fract_z
Zr1 0.000 0.000 0.000
Zr2 0.066 0.411 0.000
Zr3 0.165 0.835 0.000
Zr4 0.282 0.282 0.000
Zr5 0.358 0.642 0.000
Zr6 0.411 0.066 0.000
Zr7 0.589 0.934 0.000
Zr8 0.642 0.358 0.000
Zr9 0.718 0.718 0.000
Zr10 0.835 0.165 0.000
Zr11 0.934 0.589 0.000
Zn1 0.063 0.212 0.500
Zn2 0.155 0.631 0.500
Zn3 0.212 0.063 0.500
Zn4 0.369 0.845 0.500
Zn5 0.500 0.500 0.500
Zn6 0.631 0.155 0.500
Zn7 0.788 0.937 0.500
Zn8 0.845 0.369 0.500
Zn9 0.937 0.788 0.500
Cu1 0.255 0.449 0.500
Cu2 0.449 0.255 0.500
Cu3 0.551 0.745 0.500
Cu4 0.745 0.551 0.500
```

Below is a relaxed structure of Cs3YBi2S6, with properties calculated at the PBE level.

Calculated values
* symmetry: No. 12
* raw formation energy: -108.42 kJ per mole of atoms

The structure in CIF format:
```
data_Cs3YBi2S6
_space_group_name_H-M_alt 'P 1'
_space_group_IT_number 1
_cell_length_a 7.269
_cell_length_b 7.269
_cell_length_c 8.408
_cell_angle_alpha 98.28
_cell_angle_beta 98.28
_cell_angle_gamma 119.99
loop_
_space_group_symop_operation_xyz
'x,y,z'
loop_
_atom_site_label
_atom_site_fract_x
_atom_site_fract_y
_atom_site_fract_z
Cs1 0.000 0.000 0.000
Cs2 0.331 0.669 0.000
Cs3 0.669 0.331 0.000
Y1 0.500 0.500 0.500
Bi1 0.166 0.834 0.500
Bi2 0.834 0.166 0.500
S1 0.113 0.438 0.314
S2 0.237 0.237 0.687
S3 0.438 0.113 0.314
S4 0.562 0.887 0.686
S5 0.763 0.763 0.313
S6 0.887 0.562 0.686
```

Below is a relaxed structure of Dy4Y11Ho9, with properties calculated at the PBE level.

Calculated values
* symmetry: No. 65
* energy of formation from the pure elements: 0.05 eV/atom

The structure in CIF format:
```
data_Dy4Y11Ho9
_space_group_name_H-M_alt 'P 1'
_space_group_IT_number 1
_cell_length_a 15.061
_cell_length_b 15.061
_cell_length_c 3.673
_cell_angle_alpha 90.00
_cell_angle_beta 90.00
_cell_angle_gamma 112.93
loop_
_space_group_symop_operation_xyz
'x,y,z'
loop_
_atom_site_label
_atom_site_fract_x
_atom_site_fract_y
_atom_site_fract_z
Dy1 0.054 0.256 0.000
Dy2 0.256 0.054 0.000
Dy3 0.744 0.946 0.000
Dy4 0.946 0.744 0.000
Y1 0.093 0.455 0.500
Y2 0.133 0.867 0.500
Y3 0.208 0.208 0.500
Y4 0.340 0.660 0.500
Y5 0.455 0.093 0.500
Y6 0.500 0.500 0.500
Y7 0.545 0.907 0.500
Y8 0.660 0.340 0.500
Y9 0.792 0.792 0.500
Y10 0.867 0.133 0.500
Y11 0.907 0.545 0.500
Ho1 0.000 0.000 0.000
Ho2 0.132 0.664 0.000
Ho3 0.286 0.431 0.000
Ho4 0.336 0.868 0.000
Ho5 0.431 0.286 0.000
Ho6 0.569 0.714 0.000
Ho7 0.664 0.132 0.000
Ho8 0.714 0.569 0.000
Ho9 0.868 0.336 0.000
```

Below is a relaxed structure of Ta3Re2Ru, with properties calculated at the PBE level.

Calculated values
* symmetry: No. 123
* energy of formation from the pure elements: -0.40 eV/atom

The structure in CIF format:
```
data_Ta3Re2Ru
_space_group_name_H-M_alt 'P 1'
_space_group_IT_number 1
_cell_length_a 3.197
_cell_length_b 3.197
_cell_length_c 9.555
_cell_angle_alpha 90.00
_cell_angle_beta 90.00
_cell_angle_gamma 90.00
loop_
_space_group_symop_operation_xyz
'x,y,z'
loop_
_atom_site_label
_atom_site_fract_x
_atom_site_fract_y
_atom_site_fract_z
Ta1 0.000 0.000 0.000
Ta2 0.000 0.000 0.332
Ta3 0.000 0.000 0.668
Re1 0.500 0.500 0.169
Re2 0.500 0.500 0.831
Ru1 0.500 0.500 0.500
```

no.,spin magnetization (μB/f.u.)
1,0.0
2,0.0
3,0.0
4,0.0
5,0.5
6,0.0